{
  "formula": "CdSb3As",
  "functional": "PBE",
  "state": "relaxed",
  "cell": [[5.4514, 0.0000, 0.0000], [0.0000, 5.4514, 0.0000], [0.0000, 0.0000, 5.4514]],
  "species": ["Cd", "Sb", "Sb", "Sb", "As"],
  "fractional_positions": [[0.0000, 0.0000, 0.0000], [0.0000, 0.0000, 0.5000], [0.0000, 0.5000, 0.0000], [0.5000, 0.0000, 0.0000], [0.5000, 0.5000, 0.5000]],
  "relative_energy_kcal_per_mol_atoms": 8.14,
  "spacegroup": "Pm-3m",
  "total_magnetization_mub_per_atom": 0.000,
  "dos_ef_per_ev_cell": 5.3,
  "formation_energy_uncorrected_mev_per_atom": 973
}